VASP calculation (GGA-PBE) on a geometry-optimized GaNi14As structure.

```
GaNi14As
1.0
5.043 -0.011 0.000
0.011 5.043 0.000
0.000 0.000 7.049
Ni Ga As
14 1 1
Direct
0.625 0.125 0.754 Ni
0.125 0.125 0.246 Ni
0.875 0.375 0.500 Ni
0.375 0.875 0.000 Ni
0.375 0.375 0.000 Ni
0.875 0.375 0.000 Ni
0.625 0.625 0.246 Ni
0.625 0.625 0.754 Ni
0.125 0.625 0.754 Ni
0.125 0.625 0.246 Ni
0.625 0.125 0.246 Ni
0.875 0.875 0.000 Ni
0.375 0.875 0.500 Ni
0.125 0.125 0.754 Ni
0.375 0.375 0.500 Ga
0.875 0.875 0.500 As
```

Values from the calculation:
**Volume**: 11.20 Å³ per atom
**ΔE_f**: -9.0 kJ/mol of atoms

***

VASP calculation (GGA-PBE) on a geometry-optimized ReIrPd2N structure.

```
ReIrPd2N
1.0
-3.290 -0.854 -3.528
1.517 -3.281 -0.621
-3.012 -2.016 3.297
Pd Re N Ir
2 1 1 1
Direct
0.500 0.000 0.000 Pd
0.000 0.000 0.500 Pd
0.000 0.000 0.000 Re
0.000 0.500 0.000 N
0.500 0.500 0.500 Ir
```

Values from the calculation:
**Volume**: 17.60 Å³ per atom
**Calculated total energy**: -33.66 eV for the cell shown

***

VASP calculation (GGA-PBE) on a geometry-optimized CsPt2Pb6 structure.

```
CsPt2Pb6
1.0
3.866 0.310 0.914
1.115 8.500 1.247
0.177 -1.350 8.555
Pt Pb Cs
2 6 1
Direct
0.383 0.618 0.618 Pt
0.617 0.382 0.382 Pt
0.221 0.143 0.416 Pb
0.779 0.857 0.584 Pb
0.500 0.284 0.716 Pb
0.779 0.584 0.857 Pb
0.500 0.716 0.284 Pb
0.221 0.416 0.143 Pb
0.000 0.000 0.000 Cs
```

Values from the calculation:
**Volume**: 31.34 Å³ per atom
**ΔE_f**: -10.9 kJ/mol of atoms

***

VASP calculation (GGA-PBE) on a geometry-optimized Mn2MoSeN structure.

```
Mn2MoSeN
1.0
3.809 0.000 0.000
0.000 4.199 0.000
0.000 0.000 3.809
Se Mn Mo N
1 2 1 1
Direct
0.500 0.500 0.500 Se
0.500 0.000 0.000 Mn
0.000 0.000 0.500 Mn
0.000 0.500 0.000 Mo
0.000 0.000 0.000 N
```

Values from the calculation:
**Volume**: 12.19 Å³ per atom
**Calculated total energy**: -40.20 eV for the cell shown

***

VASP calculation (GGA-PBE) on a geometry-optimized LiPuN structure.

```
LiPuN
1.0
3.621 0.000 0.000
0.000 3.621 0.000
-1.810 -1.810 3.277
N Pu Li
1 1 1
Direct
0.930 0.930 0.861 N
0.274 0.274 0.548 Pu
0.645 0.645 0.291 Li
```

Values from the calculation:
**Volume**: 14.32 Å³ per atom
**Calculated total energy**: -24.65 eV for the cell shown

***

VASP calculation (GGA-PBE) on a geometry-optimized Ho4Er6Tm structure.

```
Ho4Er6Tm
1.0
7.433 0.000 0.000
0.000 7.433 0.000
-3.717 -3.717 6.578
Ho Er Tm
4 6 1
Direct
0.755 0.087 0.842 Ho
0.913 0.913 0.158 Ho
0.087 0.755 0.842 Ho
0.245 0.245 0.158 Ho
0.081 0.081 0.631 Er
0.550 0.550 0.631 Er
0.450 0.919 0.369 Er
0.500 0.000 0.000 Er
0.000 0.500 0.000 Er
0.919 0.450 0.369 Er
0.500 0.500 0.000 Tm
```

Values from the calculation:
**Energy above the lowest structure with this stoichiometry**: 328 meV/atom
**Volume**: 33.04 Å³ per atom
**ΔE_f**: 44.4 kJ/mol of atoms

***

VASP calculation (GGA-PBE) on a geometry-optimized CuGeBi2As structure.

```
CuGeBi2As
1.0
-4.089 0.728 -3.902
-0.770 -4.290 0.007
-3.839 0.697 4.153
Cu As Bi Ge
1 1 2 1
Direct
0.000 0.500 0.000 Cu
0.000 0.000 0.000 As
0.000 0.000 0.500 Bi
0.500 0.000 0.000 Bi
0.500 0.500 0.500 Ge
```

Values from the calculation:
**Volume**: 28.31 Å³ per atom
**ΔE_f**: 50.6 kJ/mol of atoms

***

VASP calculation (GGA-PBE) on a geometry-optimized Li2NiSnH structure.

```
Li2NiSnH
1.0
4.155 0.000 0.000
0.000 4.155 0.000
0.000 0.000 3.481
Sn Ni Li H
1 1 2 1
Direct
0.500 0.500 0.500 Sn
0.000 0.000 0.500 Ni
0.000 0.500 0.000 Li
0.500 0.000 0.000 Li
0.000 0.000 0.000 H
```

Values from the calculation:
**Volume**: 12.02 Å³ per atom
**Calculated total energy**: -18.26 eV for the cell shown